Record 1
A plane-wave DFT calculation with PBE-GGA was carried out for Zn7Cu2Au3 after structural relaxation.

Energy of formation from the pure elements: -0.078 eV/atom
SG: P2/m, No. 10

a b c (Å): 2.7946 4.4203 15.3104
angles (deg): 95.89 90.00 90.00
Last column: nearest neighbours and their distance in Å.
Fractional coordinates of all 12 atoms:
Cu (0.5000, 0.3307, 0.7062)  5 Zn 2.45-2.56
Zn (0.5000, 0.7330, 0.4543)  1 Cu 2.45, 2 Zn 2.61-2.62
Au (0.0000, 0.7958, 0.6199)  2 Au 2.79, 8 Zn 2.84-2.95, 4 Cu 2.91-2.94
Zn (0.0000, 0.0000, 0.0000)  4 Au 2.61, 2 Zn 2.79
Au (0.5000, 0.5000, 0.0000)  8 Zn 2.61-2.75, 2 Au 2.79
Zn (0.0000, 0.3816, 0.8456)  2 Cu 2.54, 6 Zn 2.74-2.79, 2 Au 2.75
Au (0.0000, 0.2042, 0.3801)  2 Au 2.79, 8 Zn 2.84-2.95, 4 Cu 2.91-2.94
Cu (0.5000, 0.6693, 0.2938)  5 Zn 2.45-2.56
Zn (0.5000, 0.1382, 0.2093)  2 Cu 2.55-2.56, 6 Zn 2.74-2.79
Zn (0.5000, 0.8618, 0.7907)  2 Cu 2.55-2.56, 6 Zn 2.74-2.79
Zn (0.5000, 0.2670, 0.5457)  1 Cu 2.45, 2 Zn 2.61-2.62
Zn (0.0000, 0.6184, 0.1544)  2 Cu 2.54, 6 Zn 2.74-2.79, 2 Au 2.75

Record 2
A plane-wave DFT calculation with PBE-GGA was carried out for Tm2GeO after structural relaxation.

Relative energy among the computed polymorphs: 0 kJ/mol of formula units
SG: Pmmn, No. 59
Formation energy without anion corrections: -1.968 eV per atom

a b c (Å): 4.2307 3.8118 10.2498
angles (deg): 90.00 90.00 90.00
Last column: nearest neighbours and their distance in Å.
Fractional coordinates of all 8 atoms:
Tm (0.7009, 0.8586, 0.2011)  4 O 2.23-2.25
Tm (0.7010, 0.3580, 0.7220)  5 Ge 2.91-2.94
Ge (0.7012, 0.3582, 0.4349)  7 Tm 2.91-3.06
Tm (0.2009, 0.3586, 0.0149)  4 O 2.23-2.25
O (0.7009, 0.3586, 0.0842)  4 Tm 2.23-2.25
Ge (0.2010, 0.8579, 0.7810)  7 Tm 2.91-3.06
O (0.2009, 0.8586, 0.1318)  4 Tm 2.23-2.25
Tm (0.2011, 0.8582, 0.4940)  5 Ge 2.91-2.94

These records have N(E_F) values of 2.78; 2.32 states/eV/cell, in the order they appear.